--- one ---
# Mg2Cr3O8

A relaxed structure of Mg2Cr3O8 (GGA+U, Alexandria via LeMat-Bulk).

a b c (Å): 5.871 5.871 9.473
angles (deg): 90.00 90.00 120.00
Element x y z (fractional)
Mg1 0.333 0.667 0.000
Mg2 0.333 0.667 0.402
Mg3 0.667 0.333 0.500
Mg4 0.667 0.333 0.902
Cr1 0.163 0.327 0.723
Cr2 0.163 0.837 0.723
Cr3 0.327 0.163 0.223
Cr4 0.673 0.837 0.723
Cr5 0.837 0.163 0.223
Cr6 0.837 0.673 0.223
O1 0.000 0.000 0.332
O2 0.000 0.000 0.832
O3 0.038 0.519 0.842
O4 0.163 0.325 0.127
O5 0.163 0.837 0.127
O6 0.325 0.163 0.627
O7 0.333 0.667 0.611
O8 0.481 0.519 0.842
O9 0.481 0.962 0.842
O10 0.519 0.038 0.342
O11 0.519 0.481 0.342
O12 0.667 0.333 0.111
O13 0.675 0.837 0.127
O14 0.837 0.163 0.627
O15 0.837 0.675 0.627
O16 0.962 0.481 0.342

Properties
Spin magnetization (μB per cell): 12.0



--- two ---
# Mg2Cr3O8

A relaxed structure of Mg2Cr3O8 (GGA+U, Alexandria via LeMat-Bulk).

a b c (Å): 5.915 5.915 4.940
angles (deg): 107.72 107.72 59.52
Element x y z (fractional)
Mg1 0.225 0.225 0.155
Mg2 0.775 0.775 0.845
Cr1 0.239 0.761 0.500
Cr2 0.500 0.500 0.000
Cr3 0.761 0.239 0.500
O1 0.103 0.103 0.417
O2 0.161 0.612 0.092
O3 0.388 0.839 0.908
O4 0.390 0.390 0.577
O5 0.610 0.610 0.423
O6 0.612 0.161 0.092
O7 0.839 0.388 0.908
O8 0.897 0.897 0.583

Properties
D(E_F) (states/eV/atom): 0.07
Spin magnetization (μB per cell): 6.0



Most stable structure among those shown: one. Next: +4.6 kJ/mol of atoms.